Record 1
Compound: Ta2FeMo
Source: the Alexandria database
Functional: PBE
Structure: optimized geometry

```
4
Lattice="2.817 0.000 0.000 0.000 2.817 0.000 0.000 0.000 7.984" Properties=species:S:1:pos:R:3 pbc="T T T"
Ta 0.000 0.000 0.308
Ta 0.000 0.000 3.684
Fe 1.408 1.408 1.996
Mo 1.408 1.408 5.988
```

Crystal system: tetragonal
M_tot: 0.00 μB per cell
Energy of formation: 0.085 eV per atom
Calculated total energy: -10.6649 eV/atom
ρ: 13.5 Mg/m³
DOS at the Fermi energy: 1.068 states/eV/atom



Record 2
Compound: InSbPbCl
Source: the Alexandria database
Functional: PBE
Structure: optimized geometry

```
4
Lattice="-1.887 -3.102 -3.980 1.548 -5.147 -0.368 -3.498 -3.949 1.091" Properties=species:S:1:pos:R:3 pbc="T T T"
Pb -0.959 -3.050 -0.814
In -2.878 -9.149 -2.443
Cl -1.919 -6.099 -1.629
Sb 0.000 0.000 0.000
```

Crystal system: cubic
M_tot: 0.00 μB per cell
Calculated total energy: -3.3907 eV/atom
ρ: 7.2 Mg/m³
DOS at the Fermi energy: 0.630 states/eV/atom



Record 3
Compound: La2HPb
Source: the Alexandria database
Functional: PBE
Structure: optimized geometry

```
4
Lattice="4.497 0.000 0.000 2.249 3.895 0.000 2.249 1.298 6.360" Properties=species:S:1:pos:R:3 pbc="T T T"
La 6.746 3.895 5.029
La 2.249 1.298 1.331
H 0.000 0.000 0.000
Pb 4.497 2.596 3.180
```

Crystal system: trigonal
M_tot: 0.00 μB per cell
Calculated total energy: -4.5483 eV/atom
ρ: 7.2 Mg/m³
DOS at the Fermi energy: 0.885 states/eV/atom



Record 4
Compound: Ge3TeSe3
Source: the Alexandria database
Functional: PBE
Structure: optimized geometry

```
14
Lattice="5.547 0.000 0.000 0.000 9.362 0.000 0.000 -4.665 8.114" Properties=species:S:1:pos:R:3 pbc="T T T"
Se 1.387 2.415 6.793
Se 4.160 7.093 1.309
Se 1.387 -2.395 6.805
Se 4.160 2.282 1.321
Se 1.387 0.002 2.635
Se 4.160 4.695 5.479
Ge 1.387 4.693 5.549
Ge 4.160 -2.450 6.836
Ge 4.160 2.477 6.829
Ge 1.387 7.148 1.279
Ge 4.160 0.004 2.565
Ge 1.387 2.220 1.286
Te 1.387 4.688 2.704
Te 4.160 0.010 5.411
```

Crystal system: orthorhombic
M_tot: 0.00 μB per cell
Calculated total energy: -3.9629 eV/atom
ρ: 4.6 Mg/m³
DOS at the Fermi energy: 0.333 states/eV/atom



Record 5
Compound: Th6GeAs3Se2
Source: the Alexandria database
Functional: PBE
Structure: optimized geometry

```
12
Lattice="-7.093 -1.583 -1.122 4.842 -5.414 1.148 -0.421 2.737 6.835" Properties=species:S:1:pos:R:3 pbc="T T T"
Th 1.294 -1.677 2.111
Th -2.628 -0.418 1.365
Th -0.862 0.335 5.098
Th -1.810 -4.595 1.763
Th -0.045 -3.842 5.496
Th -3.967 -2.583 4.750
Ge 0.000 0.000 0.000
Se -3.111 -2.861 -0.364
Se 0.859 -4.136 0.391
As -1.336 -2.130 3.431
As -5.296 -0.859 2.678
As 2.623 -3.401 4.184
```

Crystal system: monoclinic
M_tot: 0.00 μB per cell
Calculated total energy: -7.2131 eV/atom
ρ: 9.4 Mg/m³
DOS at the Fermi energy: 0.596 states/eV/atom



Record 6
Compound: TlAgICl2
Source: the Alexandria database
Functional: PBE
Structure: optimized geometry

```
10
Lattice="4.453 0.000 0.000 -2.226 8.324 0.000 0.000 0.000 8.510" Properties=species:S:1:pos:R:3 pbc="T T T"
Cl 0.000 2.441 4.307
Cl 2.226 5.882 4.203
Cl 0.000 2.441 8.458
Cl 2.226 5.882 0.052
I 2.226 0.067 2.128
I 0.000 8.257 6.383
Ag 0.000 0.000 0.000
Ag 0.000 0.000 4.255
Tl 0.000 4.825 2.128
Tl 2.226 3.499 6.383
```

Crystal system: orthorhombic
M_tot: 0.00 μB per cell
Calculated total energy: -2.6167 eV/atom
ρ: 5.4 Mg/m³
DOS at the Fermi energy: 0.621 states/eV/atom



Record 7
Compound: ZnAgSnAu
Source: the Alexandria database
Functional: PBE
Structure: optimized geometry

```
4
Lattice="-0.628 -4.716 0.655 3.436 -3.086 -1.318 2.553 -2.321 3.340" Properties=species:S:1:pos:R:3 pbc="T T T"
Ag 2.680 -5.061 1.339
Au 0.000 0.000 0.000
Sn 1.340 -2.531 0.669
Zn 4.020 -7.592 2.008
```

Crystal system: cubic
M_tot: 0.00 μB per cell
Energy of formation: 0.045 eV per atom
Calculated total energy: -2.8069 eV/atom
ρ: 10.4 Mg/m³
DOS at the Fermi energy: 0.642 states/eV/atom



Record 8
Compound: KSb3Pt
Source: the Alexandria database
Functional: PBE
Structure: optimized geometry

```
5
Lattice="5.428 0.000 0.000 0.000 5.428 0.000 0.000 0.000 5.428" Properties=species:S:1:pos:R:3 pbc="T T T"
Sb 0.000 2.714 0.000
Sb 0.000 0.000 2.714
Sb 2.714 0.000 0.000
Pt 0.000 0.000 0.000
K 2.714 2.714 2.714
```

Crystal system: cubic
M_tot: 0.00 μB per cell
Calculated total energy: -3.8371 eV/atom
ρ: 6.2 Mg/m³
DOS at the Fermi energy: 1.136 states/eV/atom



Record 9
Compound: CaScAu4
Source: the Alexandria database
Functional: PBE
Structure: optimized geometry

```
6
Lattice="5.291 -1.845 -0.206 1.301 -5.025 2.120 1.366 -4.221 -3.429" Properties=species:S:1:pos:R:3 pbc="T T T"
Au 2.984 -4.158 -0.568
Au 3.635 -6.673 0.493
Au 5.632 -5.081 -0.671
Au 3.667 -6.271 -2.284
Sc 0.000 0.000 0.000
Ca 5.969 -8.319 -1.136
```

Crystal system: cubic
M_tot: 0.00 μB per cell
Energy of formation: -0.467 eV per atom
Calculated total energy: -4.0403 eV/atom
ρ: 11.6 Mg/m³
DOS at the Fermi energy: 1.156 states/eV/atom



Record 10
Compound: MnPtS3
Source: the Alexandria database
Functional: PBE
Structure: optimized geometry

```
10
Lattice="-2.873 5.299 -0.565 -5.723 0.558 1.895 -1.110 3.422 5.311" Properties=species:S:1:pos:R:3 pbc="T T T"
S -6.401 2.703 2.921
S -6.185 6.136 1.806
S -3.305 6.576 3.720
S -3.521 3.144 4.834
S -3.339 3.935 1.445
S -6.366 5.344 5.196
Pt -7.786 6.534 3.574
Pt -1.919 2.745 3.067
Mn -5.671 3.954 1.050
Mn -4.034 5.325 5.591
```

Crystal system: trigonal
M_tot: 5.67 μB per cell
Calculated total energy: -5.8841 eV/atom
ρ: 6.7 Mg/m³
DOS at the Fermi energy: 0.567 states/eV/atom



Record 11
Compound: Ca2TiTeAu
Source: the Alexandria database
Functional: PBE
Structure: optimized geometry

```
5
Lattice="5.813 0.000 0.000 0.000 5.302 0.000 0.000 0.000 5.813" Properties=species:S:1:pos:R:3 pbc="T T T"
Ca 2.906 0.000 0.000
Ca 0.000 0.000 2.906
Te 0.000 0.000 0.000
Ti 2.906 2.651 2.906
Au 0.000 2.651 0.000
```

Crystal system: tetragonal
M_tot: 0.70 μB per cell
Calculated total energy: -3.2378 eV/atom
ρ: 4.2 Mg/m³
DOS at the Fermi energy: 2.463 states/eV/atom



Record 12
Compound: MnSnIrPt
Source: the Alexandria database
Functional: PBE
Structure: optimized geometry

```
8
Lattice="5.241 0.000 0.033 0.000 4.179 0.000 -3.410 0.000 6.400" Properties=species:S:1:pos:R:3 pbc="T T T"
Sn -0.845 0.000 4.618
Sn 0.861 2.090 1.417
Pt 3.403 2.090 0.024
Pt 1.698 0.000 3.224
Mn 1.544 0.000 5.878
Mn 3.249 2.090 2.678
Ir -2.597 2.090 5.059
Ir -0.892 0.000 1.859
```

Crystal system: monoclinic
M_tot: 6.98 μB per cell
Energy of formation: -0.111 eV per atom
Calculated total energy: -7.1297 eV/atom
ρ: 13.2 Mg/m³
DOS at the Fermi energy: 0.761 states/eV/atom



Record 13
Compound: Pm4CBr5
Source: the Alexandria database
Functional: PBE
Structure: optimized geometry

```
10
Lattice="-0.125 2.912 -2.632 -7.221 -3.028 -3.007 -2.614 4.325 7.839" Properties=species:S:1:pos:R:3 pbc="T T T"
Br -3.063 4.751 2.472
Br -6.897 -0.542 -0.272
Br -6.610 3.343 1.083
Br -3.350 0.866 1.117
Br -3.673 -0.058 -2.820
Pm -5.746 -2.397 -2.380
Pm -4.214 6.606 4.579
Pm -1.354 2.857 0.295
Pm -8.606 1.352 1.905
C -0.062 1.456 -1.316
```

Crystal system: monoclinic
M_tot: 0.00 μB per cell
Calculated total energy: -5.1070 eV/atom
ρ: 5.6 Mg/m³
DOS at the Fermi energy: 0.445 states/eV/atom



Record 14
Compound: LiPmYTl
Source: the Alexandria database
Functional: PBE
Structure: optimized geometry

```
4
Lattice="-4.042 -3.014 -1.816 0.960 -3.944 -3.499 -0.432 -5.114 1.542" Properties=species:S:1:pos:R:3 pbc="T T T"
Li 0.000 0.000 0.000
Y -2.636 -9.054 -2.829
Tl -1.757 -6.036 -1.886
Pm -0.879 -3.018 -0.943
```

Crystal system: cubic
M_tot: 0.00 μB per cell
Energy of formation: -0.218 eV per atom
Calculated total energy: -4.0917 eV/atom
ρ: 6.8 Mg/m³
DOS at the Fermi energy: 1.021 states/eV/atom



Record 15
Compound: MnTlCd2
Source: the Alexandria database
Functional: PBE
Structure: optimized geometry

```
4
Lattice="-2.454 3.886 2.845 -5.026 0.617 -1.891 2.704 -4.408 1.575" Properties=species:S:1:pos:R:3 pbc="T T T"
Cd 0.000 0.000 0.000
Cd -3.031 -0.770 0.080
Tl -1.745 0.865 2.448
Mn -3.740 2.252 0.477
```

Crystal system: tetragonal
M_tot: 4.04 μB per cell
Energy of formation: 0.313 eV per atom
Calculated total energy: -3.0290 eV/atom
ρ: 9.2 Mg/m³
DOS at the Fermi energy: 0.590 states/eV/atom



Record 16
Compound: Ta2MnCrCo
Source: the Alexandria database
Functional: PBE
Structure: optimized geometry

```
5
Lattice="4.522 0.000 0.000 0.000 4.272 0.000 0.000 0.000 4.522" Properties=species:S:1:pos:R:3 pbc="T T T"
Cr 2.261 2.136 2.261
Ta 2.261 0.000 0.000
Ta 0.000 0.000 2.261
Co 0.000 0.000 0.000
Mn 0.000 2.136 0.000
```

Crystal system: tetragonal
M_tot: 2.88 μB per cell
Energy of formation: 1.116 eV per atom
Calculated total energy: -8.8044 eV/atom
ρ: 10.0 Mg/m³
DOS at the Fermi energy: 1.656 states/eV/atom



Record 17
Compound: CaRuRh
Source: the Alexandria database
Functional: PBE
Structure: optimized geometry

```
3
Lattice="-2.205 -1.108 -1.650 2.638 -1.359 0.058 -2.095 -3.837 5.375" Properties=species:S:1:pos:R:3 pbc="T T T"
Ru -1.939 -3.663 2.380
Rh 0.281 -2.637 1.395
Ca -0.003 -0.005 0.007
```

Crystal system: trigonal
M_tot: 0.41 μB per cell
Energy of formation: 0.495 eV per atom
Calculated total energy: -5.7151 eV/atom
ρ: 7.7 Mg/m³
DOS at the Fermi energy: 1.769 states/eV/atom



Record 18
Compound: ZnN
Source: the Alexandria database
Functional: PBE
Structure: optimized geometry

```
8
Lattice="5.500 0.000 0.000 0.000 5.500 0.000 0.000 0.000 3.341" Properties=species:S:1:pos:R:3 pbc="T T T"
Zn 1.686 3.815 1.671
Zn 4.436 4.436 0.000
Zn 3.815 1.686 1.671
Zn 1.064 1.064 0.000
N 1.798 1.798 1.671
N 0.952 4.549 0.000
N 4.549 0.952 0.000
N 3.702 3.702 1.671
```

Crystal system: tetragonal
M_tot: 0.18 μB per cell
Calculated total energy: -4.1471 eV/atom
ρ: 5.2 Mg/m³
DOS at the Fermi energy: 0.860 states/eV/atom



Record 19
Compound: CdPd2Cl6
Source: the Alexandria database
Functional: PBE
Structure: optimized geometry

```
9
Lattice="-1.540 3.253 -2.879 -4.309 -5.254 0.056 -3.660 4.047 6.530" Properties=species:S:1:pos:R:3 pbc="T T T"
Pd -3.323 -1.319 0.286
Pd -6.186 3.365 3.421
Cl -7.844 1.578 2.289
Cl -5.166 -0.984 1.651
Cl -4.333 -0.203 -1.601
Cl -5.176 2.248 5.309
Cl -1.665 0.467 1.419
Cl -4.343 3.030 2.057
Cd -1.830 2.023 3.265
```

Crystal system: monoclinic
M_tot: 0.00 μB per cell
Calculated total energy: -2.9644 eV/atom
ρ: 3.6 Mg/m³
DOS at the Fermi energy: 0.848 states/eV/atom



Record 20
Compound: Ba2NaSb4Au3
Source: the Alexandria database
Functional: PBE
Structure: optimized geometry

```
10
Lattice="-4.844 0.007 0.796 -0.437 -4.128 -2.621 1.598 -6.381 9.784" Properties=species:S:1:pos:R:3 pbc="T T T"
Sb -2.641 -2.060 -0.912
Sb 0.357 -4.361 2.211
Sb 0.000 0.000 0.000
Sb -1.399 -4.080 6.661
Ba 0.980 -6.847 6.024
Ba -2.022 -1.594 2.848
Na -1.841 -5.251 3.980
Au -1.027 -5.564 8.935
Au 0.799 -3.190 4.892
Au -0.015 -2.877 -0.064
```

Crystal system: tetragonal
M_tot: 0.00 μB per cell
Calculated total energy: -3.7639 eV/atom
ρ: 8.0 Mg/m³
DOS at the Fermi energy: 0.525 states/eV/atom